PBE-GGA MgZrSbRu2, relaxed; volume = 24.54 Å³ per atom; formation energy (no corrections) = 5.1 eV/f.u.
1.0
4.8531 0.0000 0.0000
0.0000 4.8531 0.0000
0.0000 0.0000 5.2091
Mg Zr Sb Ru
1 1 1 2
Direct
0.0000 0.0000 0.0000
0.5000 0.5000 0.0000
0.5000 0.5000 0.5000
0.0000 0.5000 0.5000
0.5000 0.0000 0.5000